Density functional theory data (GGA-PBEsol) for a relaxed CaTi3B crystal.

The total magnetization is 0.8 μB per formula unit. The final energy is -22.48 eV/cell. The energy of formation comes out at 2328 meV/atom.

a b c (Å): 4.325 4.325 4.325
angles (deg): 90.00 90.00 90.00
Fractional coordinates of all 5 atoms:
Ca  0.000  0.000  0.000
Ti  0.000  0.000  0.500
Ti  0.000  0.500  0.000
Ti  0.500  0.000  0.000
B  0.500  0.500  0.500

***

Density functional theory data (GGA-PBEsol) for a relaxed CaTl3B crystal.

The total magnetization is 0.0 μB per formula unit. The final energy is -14.97 eV/cell. The energy of formation comes out at 413 meV/atom.

a b c (Å): 4.990 4.990 4.990
angles (deg): 90.00 90.00 90.00
Fractional coordinates of all 5 atoms:
Ca  0.000  0.000  0.000
Tl  0.000  0.500  0.500
Tl  0.500  0.000  0.500
Tl  0.500  0.500  0.000
B  0.500  0.500  0.500

***

Q: Among the records above, which one has the lowest final energy?
A: CaTi3B

***

Q: Among the records above, which one has the highest final energy?
A: CaTl3B